The following is a DFT calculation (GGA+U) of a relaxed structure of SiNiNF2.

Properties
As for the symmetry: P4/mmm, No. 123. The final energy is -4.92 eV per atom. The value obtained for the energy above the most stable polymorph in this dataset is 0 meV per atom. The calculation puts the calculated density at 4.54 g cm⁻³. The total magnetization comes out at 1.0 μB per formula unit.

a = 3.883 Å, b = 3.883 Å, c = 3.364 Å
α = 90.00°, β = 90.00°, γ = 90.00°
Fractional positions:
Si1 0.000 0.000 0.000
F1 0.000 0.500 0.000
F2 0.500 0.000 0.000
Ni1 0.500 0.500 0.500
N1 0.000 0.000 0.500